[1]
Here is a relaxed FeAsIr2 crystal from the Alexandria database. Energies are from PBE-GGA.

abc: 2.7602 2.7602 8.9893
angles: 90.00 90.00 118.95
Last column: nearest neighbours and their distance in Å.
Element x y z (fractional)
1 Fe 0.0000 0.0000 0.0000  4 Ir 2.53, 6 Fe 2.76-2.80
2 As 0.0000 0.0000 0.5000  6 As 2.76-2.80, 4 Ir 2.77
3 Ir 0.5000 0.5000 0.2344  2 Fe 2.53, 6 Ir 2.76-2.80, 2 As 2.77
4 Ir 0.5000 0.5000 0.7656  2 Fe 2.53, 6 Ir 2.76-2.80, 2 As 2.77

## Properties
ΔE_f = 0.278 eV per atom

[2]
Here is a relaxed Ti3Al2Re crystal from the Alexandria database. Energies are from PBE-GGA.

abc: 3.2099 3.2099 9.1987
angles: 90.00 90.00 90.00
Last column: nearest neighbours and their distance in Å.
Element x y z (fractional)
1 Ti 0.0000 0.0000 0.0000  8 Al 2.78
2 Ti 0.0000 0.0000 0.3434  4 Re 2.69, 4 Al 2.75, 1 Ti 2.88
3 Ti 0.0000 0.0000 0.6566  4 Re 2.69, 4 Al 2.75, 1 Ti 2.88
4 Al 0.5000 0.5000 0.1744  8 Ti 2.75-2.78, 1 Re 2.99
5 Al 0.5000 0.5000 0.8256  8 Ti 2.75-2.78, 1 Re 2.99
6 Re 0.5000 0.5000 0.5000  8 Ti 2.69, 2 Al 2.99

## Properties
ΔE_f = -0.423 eV per atom

[3]
Here is a relaxed Sm12Tl3H5 crystal from the Alexandria database. Energies are from PBE-GGA.

abc: 13.8559 13.8559 13.8559
angles: 109.47 109.47 109.47
Last column: nearest neighbours and their distance in Å.
Element x y z (fractional)
1 Sm 0.0127 0.2049 0.1082  1 H 2.25
2 Sm 0.0127 0.3078 0.9045  1 H 2.25
3 Sm 0.0955 0.6082 0.4033  1 H 2.25
4 Sm 0.0955 0.9873 0.6922  1 H 2.25
5 Sm 0.0967 0.7049 0.6922  1 H 2.25
6 Sm 0.0967 0.8918 0.4045  1 H 2.25
7 Sm 0.1082 0.0127 0.2049  1 H 2.25
8 Sm 0.1082 0.5955 0.9033  1 H 2.25
9 Sm 0.1922 0.2049 0.5967  1 H 2.25
10 Sm 0.1922 0.4873 0.5955  1 H 2.25
11 Sm 0.2049 0.1082 0.0127  1 H 2.25
12 Sm 0.2049 0.5967 0.1922  1 H 2.25
13 Sm 0.2951 0.3078 0.9033  1 H 2.25
14 Sm 0.2951 0.4873 0.3918  1 H 2.25
15 Sm 0.3078 0.9033 0.2951  1 H 2.25
16 Sm 0.3078 0.9045 0.0127  1 H 2.25
17 Sm 0.3918 0.2951 0.4873  1 H 2.25
18 Sm 0.3918 0.5967 0.9045  1 H 2.25
19 Sm 0.4033 0.0955 0.6082  1 H 2.25
20 Sm 0.4033 0.8078 0.7951  1 H 2.25
21 Sm 0.4045 0.0967 0.8918  1 H 2.25
22 Sm 0.4045 0.8078 0.5127  1 H 2.25
23 Sm 0.4873 0.3918 0.2951  1 H 2.25
24 Sm 0.4873 0.5955 0.1922  1 H 2.25
25 Sm 0.5127 0.4045 0.8078  1 H 2.25
26 Sm 0.5127 0.6082 0.7049  1 H 2.25
27 Sm 0.5955 0.1922 0.4873  1 H 2.25
28 Sm 0.5955 0.9033 0.1082  1 H 2.25
29 Sm 0.5967 0.1922 0.2049  1 H 2.25
30 Sm 0.5967 0.9045 0.3918  1 H 2.25
31 Sm 0.6082 0.4033 0.0955  1 H 2.25
32 Sm 0.6082 0.7049 0.5127  1 H 2.25
33 Sm 0.6922 0.0955 0.9873  1 H 2.25
34 Sm 0.6922 0.0967 0.7049  1 H 2.25
35 Sm 0.7049 0.5127 0.6082  1 H 2.25
36 Sm 0.7049 0.6922 0.0967  1 H 2.25
37 Sm 0.7951 0.4033 0.8078  1 H 2.25
38 Sm 0.7951 0.8918 0.9873  1 H 2.25
39 Sm 0.8078 0.5127 0.4045  1 H 2.25
40 Sm 0.8078 0.7951 0.4033  1 H 2.25
41 Sm 0.8918 0.4045 0.0967  1 H 2.25
42 Sm 0.8918 0.9873 0.7951  1 H 2.25
43 Sm 0.9033 0.1082 0.5955  1 H 2.25
44 Sm 0.9033 0.2951 0.3078  1 H 2.25
45 Sm 0.9045 0.0127 0.3078  1 H 2.25
46 Sm 0.9045 0.3918 0.5967  1 H 2.25
47 Sm 0.9873 0.6922 0.0955  1 H 2.25
48 Sm 0.9873 0.7951 0.8918  1 H 2.25
49 Tl 0.1250 0.2500 0.3750  8 Sm 3.22-3.23
50 Tl 0.1250 0.3750 0.7500  8 Sm 3.22-3.23
51 Tl 0.2500 0.3750 0.1250  8 Sm 3.22-3.23
52 Tl 0.2500 0.8750 0.6250  8 Sm 3.22-3.23
53 Tl 0.3750 0.1250 0.2500  8 Sm 3.22-3.23
54 Tl 0.3750 0.7500 0.1250  8 Sm 3.22-3.23
55 Tl 0.6250 0.2500 0.8750  8 Sm 3.22-3.23
56 Tl 0.6250 0.8750 0.7500  8 Sm 3.22-3.23
57 Tl 0.7500 0.1250 0.3750  8 Sm 3.22-3.23
58 Tl 0.7500 0.6250 0.8750  8 Sm 3.22-3.23
59 Tl 0.8750 0.6250 0.2500  8 Sm 3.22-3.23
60 Tl 0.8750 0.7500 0.6250  8 Sm 3.22-3.23
61 H 0.0000 0.0000 0.0000  6 Sm 2.64
62 H 0.0000 0.0000 0.5000  6 Sm 2.64
63 H 0.0000 0.5000 0.0000  6 Sm 2.64
64 H 0.0000 0.5000 0.5000  6 Sm 2.64
65 H 0.1250 0.7500 0.8750  4 Sm 2.25
66 H 0.1250 0.8750 0.2500  4 Sm 2.25
67 H 0.2500 0.1250 0.8750  4 Sm 2.25
68 H 0.2500 0.6250 0.3750  4 Sm 2.25
69 H 0.3750 0.2500 0.6250  4 Sm 2.25
70 H 0.3750 0.6250 0.7500  4 Sm 2.25
71 H 0.5000 0.0000 0.0000  6 Sm 2.64
72 H 0.5000 0.0000 0.5000  6 Sm 2.64
73 H 0.5000 0.5000 0.0000  6 Sm 2.64
74 H 0.5000 0.5000 0.5000  6 Sm 2.64
75 H 0.6250 0.3750 0.2500  4 Sm 2.25
76 H 0.6250 0.7500 0.3750  4 Sm 2.25
77 H 0.7500 0.3750 0.6250  4 Sm 2.25
78 H 0.7500 0.8750 0.1250  4 Sm 2.25
79 H 0.8750 0.1250 0.7500  4 Sm 2.25
80 H 0.8750 0.2500 0.1250  4 Sm 2.25

no.,raw total energy (eV per atom)
1,-7.430
2,-7.693
3,-4.236